Entry 1:
Entry from the Open Quantum Materials Database: Tm3Zn2Ni7 after structural relaxation (GGA-PBE).

Values from the calculation:
ΔE_f ... -5.71 eV per formula unit

Lattice parameters (Å, degrees): 8.444 8.444 8.444 34.89 34.89 34.89
Positions (direct):
Ni  0.585  0.585  0.082
Ni  0.918  0.415  0.415
Ni  0.415  0.918  0.415
Ni  0.500  0.500  0.500
Ni  0.585  0.082  0.585
Ni  0.082  0.585  0.585
Ni  0.415  0.415  0.918
Tm  0.000  0.000  0.000
Tm  0.139  0.139  0.139
Tm  0.861  0.861  0.861
Zn  0.334  0.334  0.334
Zn  0.666  0.666  0.666

Entry 2:
Entry from the Open Quantum Materials Database: TmZn2Ni2 after structural relaxation (GGA-PBE).

Values from the calculation:
ΔE_f ... -1.45 eV per formula unit

Lattice parameters (Å, degrees): 5.858 5.858 5.858 141.16 141.16 56.10
Positions (direct):
Ni  0.750  0.250  0.500
Ni  0.250  0.750  0.500
Tm  0.000  0.000  0.000
Zn  0.383  0.383  0.000
Zn  0.617  0.617  0.000

Entry 3:
Entry from the Open Quantum Materials Database: Tm2Zr2Ni after structural relaxation (GGA-PBE).

Values from the calculation:
ΔE_f ... 0.43 eV per formula unit

Lattice parameters (Å, degrees): 5.017 5.017 10.310 90.00 90.00 120.00
Positions (direct):
Ni  0.000  0.000  0.250
Ni  0.000  0.000  0.750
Tm  0.667  0.333  0.093
Tm  0.667  0.333  0.407
Tm  0.333  0.667  0.593
Tm  0.333  0.667  0.907
Zr  0.000  0.000  0.000
Zr  0.333  0.667  0.250
Zr  0.000  0.000  0.500
Zr  0.667  0.333  0.750

Entry 4:
Entry from the Open Quantum Materials Database: U3Ni2 after structural relaxation (GGA-PBE).

Values from the calculation:
ΔE_f ... 1.39 eV per formula unit

Lattice parameters (Å, degrees): 5.654 5.654 7.610 111.81 68.19 120.00
Positions (direct):
Ni  0.308  0.692  0.076
Ni  0.192  0.808  0.424
Ni  0.808  0.192  0.576
Ni  0.692  0.308  0.924
U  0.250  0.185  0.250
U  0.815  0.315  0.250
U  0.685  0.750  0.250
U  0.750  0.815  0.750
U  0.315  0.250  0.750
U  0.185  0.685  0.750

Entry 5:
Entry from the Open Quantum Materials Database: UNi after structural relaxation (GGA-PBE).

Values from the calculation:
ΔE_f ... 0.58 eV per formula unit

Lattice parameters (Å, degrees): 3.769 3.769 3.769 60.00 60.00 60.00
Positions (direct):
Ni  0.000  0.000  0.000
U  0.500  0.500  0.500

Entry 6:
Entry from the Open Quantum Materials Database: UNi5 after structural relaxation (GGA-PBE).

Values from the calculation:
ΔE_f ... -1.60 eV per formula unit

Lattice parameters (Å, degrees): 4.773 4.773 4.773 120.00 90.00 120.00
Positions (direct):
Ni  0.376  0.752  0.128
Ni  0.750  0.500  0.250
Ni  0.376  0.248  0.624
Ni  0.376  0.752  0.624
Ni  0.872  0.248  0.624
U  0.000  0.000  0.000

Entry 7:
Entry from the Open Quantum Materials Database: UNi after structural relaxation (GGA-PBE).

Values from the calculation:
ΔE_f ... 2.12 eV per formula unit

Lattice parameters (Å, degrees): 4.146 4.146 4.146 60.00 60.00 60.00
Positions (direct):
Ni  0.000  0.000  0.000
U  0.250  0.250  0.250

Entry 8:
Entry from the Open Quantum Materials Database: UNi after structural relaxation (GGA-PBE).

Values from the calculation:
ΔE_f ... 0.69 eV per formula unit

Lattice parameters (Å, degrees): 2.937 2.937 4.537 90.00 90.00 120.00
Positions (direct):
Ni  0.667  0.333  0.750
U  0.333  0.667  0.250

Entry 9:
Entry from the Open Quantum Materials Database: UNiW after structural relaxation (GGA-PBE).

Values from the calculation:
ΔE_f ... 1.87 eV per formula unit

Lattice parameters (Å, degrees): 4.284 4.284 4.284 60.00 60.00 60.00
Positions (direct):
Ni  0.000  0.000  0.000
U  0.750  0.750  0.750
W  0.250  0.250  0.250

Entry 10:
Entry from the Open Quantum Materials Database: UNiW after structural relaxation (GGA-PBE).

Values from the calculation:
ΔE_f ... 3.17 eV per formula unit

Lattice parameters (Å, degrees): 4.337 4.337 4.337 60.00 60.00 60.00
Positions (direct):
Ni  0.250  0.250  0.250
U  0.000  0.000  0.000
W  0.750  0.750  0.750

Entry 11:
Entry from the Open Quantum Materials Database: UZnNi after structural relaxation (GGA-PBE).

Values from the calculation:
ΔE_f ... 2.11 eV per formula unit

Lattice parameters (Å, degrees): 4.507 4.507 6.650 90.00 90.00 120.00
Positions (direct):
Ni  0.000  0.000  0.000
Ni  0.000  0.000  0.500
U  0.667  0.333  0.250
U  0.333  0.667  0.750
Zn  0.333  0.667  0.250
Zn  0.667  0.333  0.750

Entry 12:
Entry from the Open Quantum Materials Database: UZnNi after structural relaxation (GGA-PBE).

Values from the calculation:
ΔE_f ... 0.52 eV per formula unit

Lattice parameters (Å, degrees): 4.308 4.308 4.308 60.00 60.00 60.00
Positions (direct):
Ni  0.000  0.000  0.000
U  0.750  0.750  0.750
Zn  0.250  0.250  0.250

Question: What is the formula in the eighth record?
Answer: UNi